# 1
Computed, not measured: a geometry-optimized HfMg6AlO8 structure at the PBE level of DFT.

Cell: 4.347 4.347 8.970 Å, 90.00 90.00 90.00°
Fractional coordinates of all 16 atoms:
Hf 0.500 0.500 0.000
Mg 0.000 0.000 0.500
Mg 0.500 0.500 0.500
Mg 0.000 0.500 0.263
Mg 0.000 0.500 0.737
Mg 0.500 0.000 0.263
Mg 0.500 0.000 0.737
Al 0.000 0.000 0.000
O 0.000 0.000 0.270
O 0.000 0.000 0.730
O 0.500 0.500 0.257
O 0.500 0.500 0.743
O 0.000 0.500 0.000
O 0.000 0.500 0.500
O 0.500 0.000 0.000
O 0.500 0.000 0.500

Energy above the most stable polymorph in this dataset, eV/f.u.: 1.23
Theoretical density, g/cm3: 4.695



# 2
Computed, not measured: a geometry-optimized Ho6InSn structure at the PBE level of DFT.

Cell: 4.800 4.800 9.588 Å, 90.00 90.00 90.00°
Fractional coordinates of all 8 atoms:
Ho 0.500 0.500 0.000
Ho 0.500 0.500 0.500
Ho 0.500 0.000 0.252
Ho 0.500 0.000 0.748
Ho 0.000 0.500 0.252
Ho 0.000 0.500 0.748
In 0.000 0.000 0.000
Sn 0.000 0.000 0.500

Raw total energy, eV/atom: -4.620
Theoretical density, g/cm3: 9.194